{"formula": "FeCS3", "functional": "GGA-PBEsol", "state": "relaxed", "lattice": [[-2.5712, -2.9021, -1.0895], [2.0412, -2.6504, 2.2426], [-2.3329, 0.8795, 3.1630]], "species": ["C", "S", "S", "S", "Fe"], "frac_coords": [[0.0000, 0.0000, 0.0000], [0.0000, 0.5000, 0.0000], [0.0000, 0.0000, 0.5000], [0.5000, 0.0000, 0.0000], [0.5000, 0.5000, 0.5000]], "e_form_raw_mev_per_atom": 1154.1, "n_ef_per_ev_fu": 4.58, "vol_a3_per_atom": 13.07, "space_group": "No. 221"}

{"formula": "FeC3S", "functional": "GGA-PBEsol", "state": "relaxed", "lattice": [[-3.4183, 0.3778, -1.4275], [-1.4749, -1.0455, 3.2552], [-0.0705, 3.5537, 1.1094]], "species": ["C", "C", "C", "S", "Fe"], "frac_coords": [[0.0000, 0.5000, 0.0000], [0.0000, 0.0000, 0.5000], [0.5000, 0.0000, 0.0000], [0.5000, 0.5000, 0.5000], [0.0000, 0.0000, 0.0000]], "e_form_raw_mev_per_atom": 2029.6, "n_ef_per_ev_fu": 1.45, "vol_a3_per_atom": 10.33, "space_group": "No. 221"}

{"formula": "Fe3CS", "functional": "GGA-PBEsol", "state": "relaxed", "lattice": [[-2.8190, 2.6745, -1.0885], [-0.5096, -1.9582, -3.4914], [-2.8422, -2.3015, 1.7057]], "species": ["C", "S", "Fe", "Fe", "Fe"], "frac_coords": [[0.5000, 0.5000, 0.5000], [0.0000, 0.0000, 0.0000], [0.0000, 0.5000, 0.0000], [0.0000, 0.0000, 0.5000], [0.5000, 0.0000, 0.0000]], "e_form_raw_mev_per_atom": 1407.0, "n_ef_per_ev_fu": 3.98, "vol_a3_per_atom": 13.14, "space_group": "No. 221"}